Entry P
12
Lattice="5.3288 -3.1598 0.0000 5.3288 3.1598 0.0000 -1.3374 0.0000 4.8670" Properties=species:S:1:pos:R:3 comment="GGA-PBE GaCu4Si, optimized geometry" m_tot_mub_per_cell=0.0 pbc="T T T"
Ga 2.0132 0.0000 0.8984
Ga 7.3069 0.0000 3.9686
Cu 3.3893 1.8141 2.3404
Cu 5.3288 1.9349 0.0000
Cu 2.2769 0.0000 3.8234
Cu 5.9309 1.8141 2.5266
Cu 3.3893 -1.8141 2.3404
Cu 7.0433 0.0000 1.0437
Cu 5.3288 -1.9349 0.0000
Cu 5.9309 -1.8141 2.5266
Si 4.5909 0.0000 1.1796
Si 4.7292 0.0000 3.6874



Entry Q
24
Lattice="10.5957 0.0000 0.0000 0.0000 3.8847 0.0000 0.0000 0.0000 7.5737" Properties=species:S:1:pos:R:3 comment="GGA-PBE GaCu4Si, optimized geometry" m_tot_mub_per_cell=0.0 pbc="T T T"
Ga 1.5870 0.9712 0.2967
Ga 3.7108 2.9135 4.0835
Ga 6.8848 0.9712 3.4902
Ga 9.0087 2.9135 7.2770
Cu 0.3135 2.9135 1.5645
Cu 1.2301 2.9135 6.4544
Cu 1.4975 0.9712 2.7780
Cu 2.3647 0.9712 5.1924
Cu 2.9331 2.9135 1.4055
Cu 3.8003 2.9135 6.5649
Cu 4.0677 0.9712 2.6676
Cu 4.9843 0.9712 5.3513
Cu 5.6114 2.9135 2.2224
Cu 6.5280 2.9135 4.9062
Cu 6.7953 0.9712 1.0088
Cu 7.6626 0.9712 6.1682
Cu 8.2309 2.9135 2.3814
Cu 9.0982 2.9135 4.7957
Cu 9.3655 0.9712 1.1193
Cu 10.2821 0.9712 6.0092
Si 0.8593 2.9135 4.1220
Si 4.4385 0.9712 0.3351
Si 6.1572 2.9135 7.2386
Si 9.7363 0.9712 3.4518



Short version: entry Q is the most stable of them.